No. 1
Material: Er2ZrGa9
Method: DFT, PBE-GGA
State: relaxed

Calculated values
Energy relative to the elements ... -509 meV/atom

Lattice parameters (Å, degrees): 4.2056 4.2056 12.6604 90.00 90.00 90.00
Fractional positions:
Er 0.0000 0.0000 0.1721
Er 0.0000 0.0000 0.8279
Zr 0.0000 0.0000 0.5000
Ga 0.0000 0.5000 0.0000
Ga 0.0000 0.5000 0.3387
Ga 0.0000 0.5000 0.6613
Ga 0.5000 0.0000 0.0000
Ga 0.5000 0.0000 0.3387
Ga 0.5000 0.0000 0.6613
Ga 0.5000 0.5000 0.1664
Ga 0.5000 0.5000 0.5000
Ga 0.5000 0.5000 0.8336


No. 2
Material: RbCdReSb2
Method: DFT, PBE-GGA
State: relaxed

Lattice parameters (Å, degrees): 6.0963 6.0963 5.9192 90.00 90.00 90.00
Fractional positions:
Rb 0.0000 0.0000 0.0000
Cd 0.0000 0.0000 0.5000
Re 0.5000 0.5000 0.5000
Sb 0.0000 0.5000 0.0000
Sb 0.5000 0.0000 0.0000


No. 3
Material: BaNaH6Pd2
Method: DFT, PBE-GGA
State: relaxed

Lattice parameters (Å, degrees): 6.9200 6.9200 5.5564 97.72 97.72 83.87
Fractional positions:
Ba 0.1431 0.8569 0.7500
Ba 0.8569 0.1431 0.2500
Na 0.4065 0.5935 0.2500
Na 0.5935 0.4065 0.7500
H 0.0563 0.7703 0.2082
H 0.2294 0.2402 0.5920
H 0.2297 0.9437 0.2918
H 0.2402 0.2294 0.0920
H 0.3016 0.5235 0.8725
H 0.4765 0.6984 0.6275
H 0.5235 0.3016 0.3725
H 0.6984 0.4765 0.1275
H 0.7598 0.7706 0.9080
H 0.7703 0.0563 0.7082
H 0.7706 0.7598 0.4080
H 0.9437 0.2297 0.7918
Pd 0.1294 0.3652 0.8460
Pd 0.3652 0.1294 0.3460
Pd 0.6348 0.8706 0.6540
Pd 0.8706 0.6348 0.1540


What are the uncorrected energy values for these records? In order: -51.021 -9.183 -72.471 eV/cell.